18
Lattice="6.010 0.000 0.000 -3.005 5.205 0.000 0.000 0.000 8.671" Properties=species:S:1:pos:R:3 comment="NaAcNiF6 (GGA+U, relaxed)" e_tot_ev_per_atom=-5.255 space_group="P-31c (163)" pbc="T T T"
Na 0.000 0.000 0.000
Na 0.000 0.000 4.336
Ac 0.000 3.470 2.168
Ac 3.005 1.735 6.504
Ni 0.000 3.470 6.504
Ni 3.005 1.735 2.168
F -0.816 1.949 5.425
F -1.726 3.524 7.582
F 0.816 1.949 7.582
F -0.910 4.938 5.425
F 2.096 0.267 1.089
F 1.279 1.681 3.247
F 1.726 3.524 5.425
F 0.910 4.938 7.582
F 3.915 0.267 3.247
F 2.189 3.257 1.089
F 4.731 1.681 1.089
F 3.821 3.257 3.247